(1)
Crystalline ReAgSb2 at its relaxed geometry. Source: Alexandria, functional GGA-PBE.

energy above the most stable polymorph in this dataset: 0.641 eV per atom
energy: -0.1809 hartree per atom
crystal system: cubic
E_form (uncorrected): 371 kJ/mol of formula units
SG: No. 216

POSCAR file:
```
ReAgSb2
1.0
0.000 3.450 3.450
3.450 0.000 3.450
3.450 3.450 0.000
Re Ag Sb
1 1 2
direct
0.000 0.000 0.000
0.750 0.750 0.750
0.250 0.250 0.250
0.500 0.500 0.500
```



(2)
Crystalline Mn2SnHPt at its relaxed geometry. Source: Alexandria, functional GGA-PBE.

energy above the most stable polymorph in this dataset: 0.104 eV per atom
energy: -0.2332 hartree per atom
crystal system: tetragonal
SG: No. 123

POSCAR file:
```
Mn2SnHPt
1.0
3.861 0.000 0.000
0.000 3.861 0.000
0.000 0.000 4.399
Mn Sn H Pt
2 1 1 1
direct
0.000 0.500 0.000
0.500 0.000 0.000
0.000 0.000 0.500
0.000 0.000 0.000
0.500 0.500 0.500
```



(3)
Crystalline Tm2RuCl at its relaxed geometry. Source: Alexandria, functional GGA-PBE.

energy above the most stable polymorph in this dataset: 0.065 eV per atom
energy: -0.2155 hartree per atom
crystal system: trigonal
E_form (uncorrected): -328 kJ/mol of formula units
SG: No. 166

POSCAR file:
```
Tm2RuCl
1.0
1.818 1.050 7.880
-1.818 1.050 7.880
0.000 -2.100 7.880
Tm Ru Cl
2 1 1
direct
0.241 0.241 0.241
0.759 0.759 0.759
0.500 0.500 0.500
0.000 0.000 0.000
```



(4)
Crystalline NiSb2Cl at its relaxed geometry. Source: Alexandria, functional GGA-PBE.

energy above the most stable polymorph in this dataset: 0.405 eV per atom
energy: -0.1420 hartree per atom
crystal system: monoclinic
E_form (uncorrected): 40 kJ/mol of formula units
SG: No. 12

POSCAR file:
```
NiSb2Cl
1.0
3.809 -3.807 0.000
3.809 3.807 0.000
-0.087 0.000 3.170
Ni Sb Cl
1 2 1
direct
0.000 0.000 0.000
0.000 0.500 0.000
0.500 0.000 0.000
0.500 0.500 0.000
```



(5)
Crystalline DyMgCd3 at its relaxed geometry. Source: Alexandria, functional GGA-PBE.

formation energy from the elements: -0.065 eV/atom
energy: -0.0681 hartree per atom
crystal system: hexagonal
SG: No. 194

POSCAR file:
```
DyMgCd3
1.0
6.929 0.000 0.000
-3.465 6.001 0.000
0.000 0.000 5.909
Dy Mg Cd
2 2 6
direct
0.333 0.667 0.250
0.667 0.333 0.750
0.000 0.000 0.000
0.000 0.000 0.500
0.196 0.393 0.750
0.196 0.804 0.750
0.393 0.196 0.250
0.607 0.804 0.750
0.804 0.196 0.250
0.804 0.607 0.250
```



(6)
Crystalline K2Cu2Ag at its relaxed geometry. Source: Alexandria, functional GGA-PBE.

energy above the most stable polymorph in this dataset: 0.000 eV per atom
formation energy from the elements: 0.277 eV/atom
energy: -0.0871 hartree per atom
crystal system: tetragonal
SG: No. 139

POSCAR file:
```
K2Cu2Ag
1.0
-1.765 1.765 10.492
1.765 -1.765 10.492
1.765 1.765 -10.492
K Cu Ag
2 2 1
direct
0.115 0.115 0.000
0.885 0.885 0.000
0.250 0.750 0.500
0.750 0.250 0.500
0.500 0.500 0.000
```



(7)
Crystalline Ni2GeP2 at its relaxed geometry. Source: Alexandria, functional GGA-PBE.

formation energy from the elements: 0.015 eV/atom
energy: -0.1979 hartree per atom
crystal system: tetragonal
SG: No. 139

POSCAR file:
```
Ni2GeP2
1.0
-1.797 1.797 5.424
1.797 -1.797 5.424
1.797 1.797 -5.424
Ni Ge P
2 1 2
direct
0.117 0.117 0.000
0.883 0.883 0.000
0.500 0.500 0.000
0.250 0.750 0.500
0.750 0.250 0.500
```



(8)
Crystalline CaBe2V at its relaxed geometry. Source: Alexandria, functional GGA-PBE.

energy above the most stable polymorph in this dataset: 0.000 eV per atom
formation energy from the elements: 0.603 eV/atom
energy: -0.1485 hartree per atom
crystal system: cubic
SG: No. 225

POSCAR file:
```
CaBe2V
1.0
0.000 3.161 3.161
3.161 0.000 3.161
3.161 3.161 0.000
Ca Be V
1 2 1
direct
0.000 0.000 0.000
0.250 0.250 0.250
0.750 0.750 0.750
0.500 0.500 0.500
```



(9)
Crystalline Ca2MoOs at its relaxed geometry. Source: Alexandria, functional GGA-PBE.

energy above the most stable polymorph in this dataset: 0.689 eV per atom
formation energy from the elements: 0.937 eV/atom
energy: -0.2050 hartree per atom
crystal system: tetragonal
SG: No. 122

POSCAR file:
```
Ca2MoOs
1.0
-5.306 5.306 2.372
5.306 -5.306 2.372
5.306 5.306 -2.372
Ca Mo Os
4 2 2
direct
0.375 0.036 0.161
0.786 0.625 0.661
0.875 0.214 0.839
0.964 0.125 0.339
0.250 0.750 0.500
0.500 0.500 0.000
0.000 0.000 0.000
0.750 0.250 0.500
```



(10)
Crystalline VPd4Au5 at its relaxed geometry. Source: Alexandria, functional GGA-PBE.

formation energy from the elements: 0.010 eV/atom
energy: -0.1697 hartree per atom
crystal system: monoclinic
SG: No. 12

POSCAR file:
```
VPd4Au5
1.0
7.122 -2.038 0.000
7.122 2.038 0.000
-3.417 0.000 6.095
V Pd Au
1 4 5
direct
0.000 0.000 0.000
0.172 0.172 0.405
0.480 0.480 0.758
0.520 0.520 0.242
0.828 0.828 0.595
0.000 0.000 0.500
0.319 0.319 0.879
0.338 0.338 0.298
0.662 0.662 0.702
0.681 0.681 0.121
```



(11)
Crystalline SrTh2As3 at its relaxed geometry. Source: Alexandria, functional GGA-PBE.

formation energy from the elements: -1.361 eV/atom
energy: -0.2366 hartree per atom
crystal system: orthorhombic
SG: No. 71

POSCAR file:
```
SrTh2As3
1.0
-2.156 3.045 6.499
2.156 -3.045 6.499
2.156 3.045 -6.499
Sr Th As
1 2 3
direct
0.000 0.000 0.000
0.335 0.335 0.000
0.665 0.665 0.000
0.176 0.676 0.500
0.500 0.000 0.500
0.824 0.324 0.500
```



(12)
Crystalline Ac4Sc3AgO12 at its relaxed geometry. Source: Alexandria, functional GGA-PBE.

energy: -0.2865 hartree per atom
crystal system: cubic
E_form (uncorrected): -5611 kJ/mol of formula units
SG: No. 229

POSCAR file:
```
Ac4Sc3AgO12
1.0
-4.136 4.136 4.136
4.136 -4.136 4.136
4.136 4.136 -4.136
Ac Sc Ag O
4 3 1 12
direct
0.000 0.000 0.500
0.000 0.500 0.000
0.500 0.000 0.000
0.500 0.500 0.500
0.000 0.500 0.500
0.500 0.000 0.500
0.500 0.500 0.000
0.000 0.000 0.000
0.000 0.255 0.255
0.000 0.745 0.745
0.250 0.500 0.750
0.250 0.750 0.500
0.255 0.000 0.255
0.255 0.255 0.000
0.500 0.250 0.750
0.500 0.750 0.250
0.745 0.000 0.745
0.745 0.745 0.000
0.750 0.250 0.500
0.750 0.500 0.250
```